[1]
VASP calculation (GGA-PBE) on a relaxed structure of Zn2NiPb.

Values from the calculation:
- ΔH_f (0 K): 25 kJ/mol of formula units
- Space group: No. 123
- Total energy: -2.94 eV/atom

a = 3.0668 Å, b = 3.0668 Å, c = 7.7629 Å
α = 90.00°, β = 90.00°, γ = 90.00°
Fractional coordinates of all 4 atoms:
Zn 0.0000 0.0000 0.1701
Zn 0.0000 0.0000 0.8299
Ni 0.5000 0.5000 0.0000
Pb 0.5000 0.5000 0.5000

[2]
VASP calculation (GGA-PBE) on a relaxed structure of Li5B8C8.

Values from the calculation:
- ΔH_f (0 K): -224 kJ/mol of formula units
- Space group: No. 8
- Total energy: -6.62 eV/atom
- Energy relative to the lowest polymorph listed for this composition: 0.035 eV per atom

a = 13.8066 Å, b = 13.8066 Å, c = 4.7027 Å
α = 99.28°, β = 99.28°, γ = 11.36°
Fractional coordinates of all 21 atoms:
Li 0.0000 0.0000 0.0000
Li 0.1326 0.1326 0.1234
Li 0.4996 0.4996 0.4989
Li 0.6324 0.6324 0.6232
Li 0.8707 0.8707 0.8646
B 0.0668 0.0668 0.7270
B 0.1989 0.1989 0.5192
B 0.2986 0.2986 0.9577
B 0.4365 0.4365 0.7708
B 0.5668 0.5668 0.2269
B 0.6990 0.6990 0.0196
B 0.8023 0.8023 0.4598
B 0.9341 0.9341 0.2739
C 0.0669 0.0669 0.3922
C 0.1964 0.1964 0.8526
C 0.3038 0.3038 0.6226
C 0.4353 0.4353 0.1073
C 0.5670 0.5670 0.8923
C 0.6965 0.6965 0.3530
C 0.7996 0.7996 0.1184
C 0.9380 0.9380 0.6105

| no. | size of the total moment (μB per cell) |
| --- | --- |
| 1 | 0.00 |
| 2 | 0.00 |